DFT (GGA-PBE) results for a relaxed structure of Pr2NpZnRh6.

Unit cell a=5.8385 b=5.8385 c=22.1170 alpha=90.00 beta=90.00 gamma=120.00
Last column: nearest neighbours and their distance in Å.
Space group R-3m (No. 166, hexagonal axes)
One atom of each set of equivalent atoms:
Pr: 0.0000 0.0000 0.2176  6 Rh 2.99
Np: 0.0000 0.0000 0.5000  6 Rh 2.47
Zn: 0.0000 0.0000 0.0000  6 Rh 2.53
Rh: 0.0037 0.5019 0.7527  1 Np 2.47, 1 Zn 2.53

Properties
Size of the total moment: 0.10 μB/atom
Density of states at the Fermi level: 0.95 states/eV/atom
VASP energy: -7.06 eV per atom